Material: SmNbNCl3
Method: DFT, PBE
State: relaxed

Results
E_tot (eV per atom): -6.32
Total magnetization (Bohr magnetons per cell): 0.0

Unit cell a=15.8759 b=3.7546 c=10.6803 alpha=90.00 beta=118.53 gamma=90.00
With the nearest neighbours (Å) after each atom.
Space group C2/m (No. 12)
Asymmetric unit:
Sm: 0.1389 0.0000 0.2992 x4  2 N 2.27
Nb: 0.0672 0.5000 0.9666 x4  2 N 2.06-2.07
N: 0.0791 0.5000 0.1672 x4  2 Nb 2.06-2.07, 2 Sm 2.27
Cl: 0.0573 0.0000 0.7752 x4  2 Nb 2.72, 1 Sm 2.82
Cl: 0.1598 0.5000 0.5218 x4  3 Sm 2.83-2.92
Cl: 0.2049 0.0000 0.0957 x4  2 Nb 2.71, 1 Sm 2.83